Record 1
A relaxed structure of La4CoCu, computed with PBE.

D(E_F): 1.185 states/eV per atom
relative energy among the computed polymorphs: 0.0000 eV per atom
crystal system: monoclinic

Unit cell a=6.408 b=7.149 c=7.943 alpha=90.00 beta=109.26 gamma=90.00
Fractional coordinates of all 12 atoms:
La  0.554  0.250  0.405
La  0.446  0.750  0.595
La  0.555  0.250  0.871
La  0.445  0.750  0.129
La  0.985  0.007  0.265
La  0.015  0.507  0.735
La  0.985  0.493  0.265
La  0.015  0.993  0.735
Co  0.227  0.250  0.561
Co  0.773  0.750  0.439
Cu  0.205  0.250  0.053
Cu  0.795  0.750  0.947

---

Record 2
A relaxed structure of TbPm7Tm2, computed with PBE.

D(E_F): 1.496 states/eV per atom
crystal system: orthorhombic

Unit cell a=5.667 b=9.268 c=9.268 alpha=122.96 beta=90.00 gamma=90.00
Fractional coordinates of all 10 atoms:
Tb  0.000  0.000  0.000
Pm  0.000  0.780  0.220
Pm  0.000  0.220  0.780
Pm  0.500  0.065  0.293
Pm  0.500  0.935  0.707
Pm  0.500  0.293  0.065
Pm  0.500  0.707  0.935
Pm  0.500  0.500  0.500
Tm  0.500  0.705  0.295
Tm  0.500  0.295  0.705

---

What energy of formation values result from the calculations? In sequence: -0.10; 0.65 eV per atom.